A plane-wave DFT calculation with GGA+U was carried out for CdCoSeO after structural relaxation.

Computed properties:
- ΔE to the lowest computed polymorph (eV/atom) = 0.729
- final energy (eV per atom) = -3.55

Cell lengths 3.9448, 3.9448, 8.1547 Å; angles 90.00, 90.00, 90.00 degrees
Space group P4/nmm (No. 129, origin choice 2)
Unique sites:
Cd (0.2500, 0.2500, 0.1514) [2 per cell]
Co (0.2500, 0.2500, 0.6615) [2 per cell]
Se (0.2500, 0.7500, 0.5000) [2 per cell]
O (0.2500, 0.2500, 0.8836) [2 per cell]